1.
PBE Li2Ca2Mg5Ag, relaxed; energy = -1.936 eV/atom; formation energy from the elements = -70 meV per atom; space-group type = P4/mbm (127); total magnetic moment = 0.000 Bohr magnetons per cell
1.0
-2.692 1.439 -1.928
-7.670 -3.718 7.934
1.177 10.011 5.830
Li Ca Mg Ag
4 4 10 2
Cartesian
-0.247 5.815 4.686
-3.796 6.386 10.067
-2.697 -0.093 3.696
-6.246 0.478 9.078
-0.976 2.578 3.287
-4.983 -0.747 6.400
-5.517 3.715 10.477
-1.510 7.039 7.363
-3.090 5.072 4.720
-2.730 0.526 0.824
-5.181 -1.140 3.003
-8.406 -0.927 7.665
-4.426 2.170 4.419
-6.455 7.206 11.012
-0.779 8.659 4.170
-0.758 5.725 1.951
-6.095 2.660 7.116
-4.759 5.562 7.416
-3.246 3.146 6.882
0.000 0.000 0.000

=====

2.
PBE Tm3Sc5Pb2, relaxed; energy = -5.211 eV/atom; formation energy from the elements = 38 meV per atom; space-group type = Ibam (72); total magnetic moment = 2.064 Bohr magnetons per cell
1.0
6.082 0.000 0.000
3.041 9.325 -2.291
3.041 0.265 9.599
Sc Pb Tm
10 4 6
Cartesian
6.082 2.313 4.742
4.561 7.108 5.416
6.082 7.278 2.565
4.561 4.795 3.654
3.041 5.186 0.971
4.561 2.482 1.891
9.122 4.405 6.336
7.602 2.482 1.891
7.602 7.108 5.416
7.602 4.795 3.654
9.122 3.083 8.899
3.041 6.508 -1.592
6.082 9.398 0.611
6.082 0.192 6.697
6.082 3.422 7.759
6.082 6.169 -0.451
9.122 8.389 1.240
3.041 1.202 6.067
1.520 0.000 0.000
4.561 0.000 0.000

=====

3.
PBE CuHPd3, relaxed; energy = -4.629 eV/atom; space-group type = C2/m (12); energy above the most stable polymorph in this dataset = 58.0 meV per atom; total magnetic moment = 0.000 Bohr magnetons per cell
1.0
-7.800 3.668 -6.903
-0.698 -0.041 -6.927
2.412 -6.331 1.604
Pd Cu H
12 4 4
Cartesian
0.340 -3.502 -4.672
-6.426 0.799 -7.554
-2.818 0.053 -3.193
-4.418 1.518 -5.462
-2.142 -2.173 -4.840
-1.669 -4.221 -6.764
-0.225 -1.405 -2.920
-3.945 -0.531 -7.386
-3.268 -2.757 -9.032
1.511 -5.510 0.331
-7.597 2.806 -12.557
-5.861 -1.299 -9.306
-4.480 -1.025 -4.885
-2.135 0.286 -5.699
-3.951 -2.990 -6.527
-1.606 -1.679 -7.341
-4.965 0.407 -8.835
-1.122 -3.110 -3.391
-6.577 1.870 -11.106
0.491 -4.574 -1.119

=====

4.
PBE La2TbPr, relaxed; energy = -4.702 eV/atom; formation energy from the elements = 114 meV per atom; space-group type = Fm-3m (225); energy above the most stable polymorph in this dataset = 103.2 meV per atom; total magnetic moment = 0.002 Bohr magnetons per cell
1.0
5.884 0.000 0.000
2.942 5.096 0.000
2.942 1.699 4.805
La Tb Pr
2 1 1
Cartesian
2.942 1.699 1.201
8.826 5.096 3.603
0.000 0.000 0.000
5.884 3.397 2.402

=====

5.
PBE AlVH2, relaxed; energy = -4.846 eV/atom; space-group type = I-42d (122); energy above the most stable polymorph in this dataset = 62.5 meV per atom; total magnetic moment = 0.000 Bohr magnetons per cell
1.0
-1.019 2.475 -3.134
-3.987 -0.815 0.653
-2.730 4.006 1.341
V Al H
2 2 4
Cartesian
-3.126 3.655 -1.517
0.000 0.000 0.000
-2.503 0.830 -1.241
-4.610 2.010 0.377
-3.822 3.648 0.059
-3.275 0.738 0.432
-6.530 4.435 -1.148
-1.844 2.510 -1.622

=====

6.
PBE ScSnI, relaxed; energy = -4.575 eV/atom; space-group type = Cmcm (63); formation energy without anion corrections = -0.614 eV/atom; total magnetic moment = 0.000 Bohr magnetons per cell
1.0
3.659 0.000 0.000
0.000 14.840 0.000
0.000 0.000 6.102
I Sc Sn
4 4 4
Cartesian
1.829 3.149 1.526
0.000 10.569 1.526
1.829 11.692 4.577
0.000 4.271 4.577
0.000 9.360 4.577
1.829 1.940 4.577
1.829 12.901 1.526
0.000 5.481 1.526
1.829 7.420 3.051
1.829 7.420 0.000
0.000 0.000 0.000
0.000 0.000 3.051

=====

7.
PBE Fe2CuPdC, relaxed; energy = -6.905 eV/atom; formation energy from the elements = 182 meV per atom; space-group type = P4/mmm (123); total magnetic moment = 5.187 Bohr magnetons per cell
1.0
3.846 0.000 0.000
0.000 3.846 0.000
0.000 0.000 3.955
Fe Cu C Pd
2 1 1 1
Cartesian
0.000 1.923 0.000
1.923 0.000 0.000
0.000 0.000 1.977
0.000 0.000 0.000
1.923 1.923 1.977

=====

8.
PBE SrZnGe, relaxed; energy = -2.908 eV/atom; formation energy from the elements = -384 meV per atom; space-group type = Imma (74); total magnetic moment = 0.000 Bohr magnetons per cell
1.0
6.440 -0.035 -0.125
-1.850 6.168 0.125
1.477 -1.106 3.837
Zn Ge Sr
2 2 2
Cartesian
1.234 5.584 0.547
4.566 -0.146 2.340
6.062 1.856 2.341
-0.260 3.583 0.546
1.344 -0.901 3.362
2.901 2.719 1.443

=====

Copy entry 6 word for word.
PBE ScSnI, relaxed; energy = -4.575 eV/atom; space-group type = Cmcm (63); formation energy without anion corrections = -0.614 eV/atom; total magnetic moment = 0.000 Bohr magnetons per cell
1.0
3.659 0.000 0.000
0.000 14.840 0.000
0.000 0.000 6.102
I Sc Sn
4 4 4
Cartesian
1.829 3.149 1.526
0.000 10.569 1.526
1.829 11.692 4.577
0.000 4.271 4.577
0.000 9.360 4.577
1.829 1.940 4.577
1.829 12.901 1.526
0.000 5.481 1.526
1.829 7.420 3.051
1.829 7.420 0.000
0.000 0.000 0.000
0.000 0.000 3.051

=====

- Which of these has the highest energy?
  Li2Ca2Mg5Ag

=====

Please write out number 2 again, unchanged.
PBE Tm3Sc5Pb2, relaxed; energy = -5.211 eV/atom; formation energy from the elements = 38 meV per atom; space-group type = Ibam (72); total magnetic moment = 2.064 Bohr magnetons per cell
1.0
6.082 0.000 0.000
3.041 9.325 -2.291
3.041 0.265 9.599
Sc Pb Tm
10 4 6
Cartesian
6.082 2.313 4.742
4.561 7.108 5.416
6.082 7.278 2.565
4.561 4.795 3.654
3.041 5.186 0.971
4.561 2.482 1.891
9.122 4.405 6.336
7.602 2.482 1.891
7.602 7.108 5.416
7.602 4.795 3.654
9.122 3.083 8.899
3.041 6.508 -1.592
6.082 9.398 0.611
6.082 0.192 6.697
6.082 3.422 7.759
6.082 6.169 -0.451
9.122 8.389 1.240
3.041 1.202 6.067
1.520 0.000 0.000
4.561 0.000 0.000

=====

- What is the formula in the fourth record?
  La2TbPr